# 1
Density functional theory data (GGA-PBE) for NpAlAu after structural relaxation.

Unit cell a=3.039 b=3.039 c=6.671 alpha=103.17 beta=103.17 gamma=90.00
Last column: magnetic moment on the atom in μB.
Element x y z (fractional)
Np (0.997, 0.997, 0.994)  3.99
Au (0.686, 0.686, 0.373)  -0.01
Al (0.317, 0.317, 0.633)  -0.03

M_tot (μB/f.u.): 4.1
Mass density (Mg/m³): 13.1
Calculated formation energy (meV per atom): -150.6
DOS(E_F) (states/eV per atom): 1.840
Total energy (eV per atom): -6.80



# 2
Density functional theory data (GGA-PBE) for NpAl4Au8 after structural relaxation.

Unit cell a=5.521 b=7.102 c=7.102 alpha=81.31 beta=67.13 gamma=67.13
Last column: magnetic moment on the atom in μB.
Element x y z (fractional)
Np (0.000, 0.000, 0.000)  3.92
Al (0.000, 0.000, 0.500)  0.00
Al (0.500, 0.000, 0.500)  0.00
Al (0.000, 0.500, 0.000)  0.00
Al (0.500, 0.500, 0.000)  0.00
Au (0.000, 0.327, 0.673)  0.01
Au (0.000, 0.673, 0.327)  0.01
Au (0.327, 0.673, 0.673)  0.01
Au (0.673, 0.327, 0.327)  0.01
Au (0.500, 0.782, 0.218)  0.00
Au (0.500, 0.218, 0.782)  0.00
Au (0.282, 0.218, 0.218)  0.00
Au (0.718, 0.782, 0.782)  0.00

M_tot (μB/f.u.): 4.2
Mass density (Mg/m³): 13.5
Calculated formation energy (meV per atom): -309.8
DOS(E_F) (states/eV per atom): 1.356
Total energy (eV per atom): -4.47



# 3
Density functional theory data (GGA-PBE) for NpAlAu after structural relaxation.

Unit cell a=3.435 b=8.498 c=7.960 alpha=90.00 beta=90.00 gamma=90.00
Last column: magnetic moment on the atom in μB.
Element x y z (fractional)
Np (0.250, 0.401, 0.508)  1.16
Np (0.750, 0.599, 0.492)  1.16
Np (0.250, 0.099, 0.008)  1.16
Np (0.750, 0.901, 0.992)  1.16
Al (0.250, 0.594, 0.152)  0.00
Al (0.750, 0.406, 0.848)  0.00
Al (0.250, 0.906, 0.652)  0.00
Al (0.750, 0.094, 0.348)  0.00
Au (0.250, 0.639, 0.827)  0.01
Au (0.750, 0.361, 0.173)  0.01
Au (0.250, 0.861, 0.327)  0.01
Au (0.750, 0.139, 0.673)  0.01

M_tot (μB/f.u.): 1.2
Mass density (Mg/m³): 13.2
Calculated formation energy (meV per atom): -298.4
DOS(E_F) (states/eV per atom): 1.460
Total energy (eV per atom): -6.95



# 4
Density functional theory data (GGA-PBE) for Np2AlAu3 after structural relaxation.

Unit cell a=5.335 b=5.335 c=5.335 alpha=67.00 beta=67.00 gamma=67.00
Last column: magnetic moment on the atom in μB.
Element x y z (fractional)
Np (0.387, 0.387, 0.387)  4.11
Np (0.613, 0.613, 0.613)  4.11
Al (0.000, 0.000, 0.000)  -0.03
Au (0.000, 0.000, 0.500)  0.05
Au (0.500, 0.000, 0.000)  0.05
Au (0.000, 0.500, 0.000)  0.05

M_tot (μB/f.u.): 8.9
Mass density (Mg/m³): 14.7
Calculated formation energy (meV per atom): -169.3
DOS(E_F) (states/eV per atom): 2.421
Total energy (eV per atom): -6.75



Question: What is the M_tot in the third record?
Answer: 1.2 μB/f.u.



Question: calculated formation energy of number 3 (NpAlAu)?
Answer: -298.4 meV per atom



Question: Which of these has the highest mass density?
Answer: Np2AlAu3



Please write out number 2 again, unchanged.
Density functional theory data (GGA-PBE) for NpAl4Au8 after structural relaxation.

Unit cell a=5.521 b=7.102 c=7.102 alpha=81.31 beta=67.13 gamma=67.13
Last column: magnetic moment on the atom in μB.
Element x y z (fractional)
Np (0.000, 0.000, 0.000)  3.92
Al (0.000, 0.000, 0.500)  0.00
Al (0.500, 0.000, 0.500)  0.00
Al (0.000, 0.500, 0.000)  0.00
Al (0.500, 0.500, 0.000)  0.00
Au (0.000, 0.327, 0.673)  0.01
Au (0.000, 0.673, 0.327)  0.01
Au (0.327, 0.673, 0.673)  0.01
Au (0.673, 0.327, 0.327)  0.01
Au (0.500, 0.782, 0.218)  0.00
Au (0.500, 0.218, 0.782)  0.00
Au (0.282, 0.218, 0.218)  0.00
Au (0.718, 0.782, 0.782)  0.00

M_tot (μB/f.u.): 4.2
Mass density (Mg/m³): 13.5
Calculated formation energy (meV per atom): -309.8
DOS(E_F) (states/eV per atom): 1.356
Total energy (eV per atom): -4.47